# UBiTe3 (GGA-PBE, relaxed)
data_UBiTe3
_chemical_formula_sum 'U4 Bi4 Te12'
_cell_length_a 19.211
_cell_length_b 4.431
_cell_length_c 8.335
_cell_angle_alpha 90.00
_cell_angle_beta 92.71
_cell_angle_gamma 90.00
_symmetry_space_group_name_H-M 'C 1 2/m 1'
_symmetry_Int_Tables_number 12
_symmetry_space_group_name_Hall '-C 2y'
loop_
_atom_site_label
_atom_site_fract_x
_atom_site_fract_y
_atom_site_fract_z
U1 0.222 0.000 0.248
Bi1 0.035 0.500 0.670
Te1 0.054 0.000 0.207
Te2 0.168 0.500 0.018
Te3 0.179 0.000 0.605
# - ΔE_f (raw): -1.86 eV/f.u.
# - Calculated volume: 35.44 Å³/atom
# - Relative energy among the computed polymorphs: 0 meV per atom
# - Spin magnetization: 2.0 μB/f.u.
# - N(E_F): 1.46 states/eV/atom

# Si2NiAg (GGA-PBE, relaxed)
data_Si2NiAg
_chemical_formula_sum 'Si4 Ni2 Ag2'
_cell_length_a 5.365
_cell_length_b 8.509
_cell_length_c 3.026
_cell_angle_alpha 90.00
_cell_angle_beta 121.74
_cell_angle_gamma 90.00
_symmetry_space_group_name_H-M 'C 1 2/m 1'
_symmetry_Int_Tables_number 12
_symmetry_space_group_name_Hall '-C 2y'
loop_
_atom_site_label
_atom_site_fract_x
_atom_site_fract_y
_atom_site_fract_z
Si1 0.250 0.250 0.000
Ni1 0.000 0.000 0.000
Ag1 0.000 0.500 0.000
# - ΔE_f (raw): 1.10 eV/f.u.
# - Calculated volume: 14.68 Å³/atom
# - Relative energy among the computed polymorphs: 291 meV per atom
# - Spin magnetization: 0.0 μB/f.u.
# - N(E_F): 0.51 states/eV/atom

# SrRh2Pb (GGA-PBE, relaxed)
data_SrRh2Pb
_chemical_formula_sum 'Sr1 Rh2 Pb1'
_cell_length_a 3.444
_cell_length_b 3.539
_cell_length_c 6.960
_cell_angle_alpha 90.00
_cell_angle_beta 90.00
_cell_angle_gamma 90.00
_symmetry_space_group_name_H-M 'P m m m'
_symmetry_Int_Tables_number 47
_symmetry_space_group_name_Hall '-P 2 2'
loop_
_atom_site_label
_atom_site_fract_x
_atom_site_fract_y
_atom_site_fract_z
Sr1 0.000 0.000 0.000
Rh1 0.500 0.500 0.292
Pb1 0.000 0.000 0.500
# - ΔH_f (0 K): -0.079 eV per atom
# - Calculated volume: 21.21 Å³/atom
# - Spin magnetization: 0.0 μB/f.u.
# - N(E_F): 0.58 states/eV/atom

# MgGeAs2 (GGA-PBE, relaxed)
data_MgGeAs2
_chemical_formula_sum 'Mg4 Ge4 As8'
_cell_length_a 6.811
_cell_length_b 6.811
_cell_length_c 6.811
_cell_angle_alpha 90.00
_cell_angle_beta 90.00
_cell_angle_gamma 90.00
_symmetry_space_group_name_H-M 'F m -3 m'
_symmetry_Int_Tables_number 225
_symmetry_space_group_name_Hall '-F 4 2 3'
loop_
_atom_site_label
_atom_site_fract_x
_atom_site_fract_y
_atom_site_fract_z
Mg1 0.000 0.000 0.000
Ge1 0.000 0.000 0.500
As1 0.250 0.250 0.250
# - ΔH_f (0 K): 0.073 eV per atom
# - Calculated volume: 19.75 Å³/atom
# - Relative energy among the computed polymorphs: 347 meV per atom
# - Spin magnetization: 0.0 μB/f.u.
# - N(E_F): 0.62 states/eV/atom

# Hf3SnPb (GGA-PBE, relaxed)
data_Hf3SnPb
_chemical_formula_sum 'Hf3 Sn1 Pb1'
_cell_length_a 5.258
_cell_length_b 5.258
_cell_length_c 5.258
_cell_angle_alpha 90.00
_cell_angle_beta 90.00
_cell_angle_gamma 90.00
_symmetry_space_group_name_H-M 'P m -3 m'
_symmetry_Int_Tables_number 221
_symmetry_space_group_name_Hall '-P 4 2 3'
loop_
_atom_site_label
_atom_site_fract_x
_atom_site_fract_y
_atom_site_fract_z
Hf1 0.000 0.000 0.500
Sn1 0.000 0.000 0.000
Pb1 0.500 0.500 0.500
# - ΔH_f (0 K): 0.919 eV per atom
# - Calculated volume: 29.08 Å³/atom
# - Relative energy among the computed polymorphs: 1019 meV per atom
# - Spin magnetization: 0.0 μB/f.u.
# - N(E_F): 1.29 states/eV/atom

# AcEuNiRu (GGA-PBE, relaxed)
data_AcEuNiRu
_chemical_formula_sum 'Ac4 Eu4 Ni4 Ru4'
_cell_length_a 7.166
_cell_length_b 7.166
_cell_length_c 7.166
_cell_angle_alpha 90.00
_cell_angle_beta 90.00
_cell_angle_gamma 90.00
_symmetry_space_group_name_H-M 'F -4 3 m'
_symmetry_Int_Tables_number 216
_symmetry_space_group_name_Hall 'F -4 2 3'
loop_
_atom_site_label
_atom_site_fract_x
_atom_site_fract_y
_atom_site_fract_z
Ac1 0.000 0.000 0.000
Eu1 0.000 0.000 0.500
Ni1 0.250 0.250 0.750
Ru1 0.250 0.250 0.250
# - ΔH_f (0 K): 0.060 eV per atom
# - Calculated volume: 23.00 Å³/atom
# - Spin magnetization: 6.5 μB/f.u.
# - N(E_F): 2.48 states/eV/atom

# AcPmPN (GGA-PBE, relaxed)
data_AcPmPN
_chemical_formula_sum 'Ac6 Pm6 P6 N6'
_cell_length_a 4.2243
_cell_length_b 4.2243
_cell_length_c 41.0935
_cell_angle_alpha 90.00
_cell_angle_beta 90.00
_cell_angle_gamma 120.00
_symmetry_space_group_name_H-M 'R -3 m'
_symmetry_Int_Tables_number 166
_symmetry_space_group_name_Hall '-R 3 2"'
loop_
_atom_site_label
_atom_site_fract_x
_atom_site_fract_y
_atom_site_fract_z
Ac1 0.0000 0.0000 0.1180
Pm1 0.0000 0.0000 0.2955
P1 0.0000 0.0000 0.0000
P2 0.0000 0.0000 0.5000
N1 0.0000 0.0000 0.2427
# - ΔE_f (raw): -4.49 eV/f.u.
# - Calculated volume: 26.46 Å³/atom
# - Spin magnetization: 0.0 μB/f.u.
# - N(E_F): 0.43 states/eV/atom

# NdSm2Ge2Pt7 (GGA-PBE, relaxed)
data_NdSm2Ge2Pt7
_chemical_formula_sum 'Nd2 Sm4 Ge4 Pt14'
_cell_length_a 5.878
_cell_length_b 5.800
_cell_length_c 14.161
_cell_angle_alpha 90.00
_cell_angle_beta 98.78
_cell_angle_gamma 90.00
_symmetry_space_group_name_H-M 'C 1 2/m 1'
_symmetry_Int_Tables_number 12
_symmetry_space_group_name_Hall '-C 2y'
loop_
_atom_site_label
_atom_site_fract_x
_atom_site_fract_y
_atom_site_fract_z
Nd1 0.000 0.000 0.000
Sm1 0.117 0.000 0.359
Ge1 0.096 0.500 0.258
Pt1 0.000 0.500 0.000
Pt2 0.128 0.500 0.431
Pt3 0.190 0.250 0.841
# - ΔH_f (0 K): -0.928 eV per atom
# - Calculated volume: 19.88 Å³/atom
# - Spin magnetization: 0.0 μB/f.u.
# - N(E_F): 0.50 states/eV/atom

# BeAlH3 (GGA-PBE, relaxed)
data_BeAlH3
_chemical_formula_sum 'Be1 Al1 H3'
_cell_length_a 3.519
_cell_length_b 3.519
_cell_length_c 3.519
_cell_angle_alpha 90.00
_cell_angle_beta 90.00
_cell_angle_gamma 90.00
_symmetry_space_group_name_H-M 'P m -3 m'
_symmetry_Int_Tables_number 221
_symmetry_space_group_name_Hall '-P 4 2 3'
loop_
_atom_site_label
_atom_site_fract_x
_atom_site_fract_y
_atom_site_fract_z
Be1 0.000 0.000 0.000
Al1 0.500 0.500 0.500
H1 0.000 0.500 0.500
# - Calculated volume: 8.71 Å³/atom
# - Relative energy among the computed polymorphs: 466 meV per atom
# - Spin magnetization: 0.0 μB/f.u.
# - N(E_F): 0.18 states/eV/atom

# Sc3AuN (GGA-PBE, relaxed)
data_Sc3AuN
_chemical_formula_sum 'Sc18 Au6 N6'
_cell_length_a 6.3893
_cell_length_b 6.3893
_cell_length_c 19.6473
_cell_angle_alpha 90.00
_cell_angle_beta 90.00
_cell_angle_gamma 120.00
_symmetry_space_group_name_H-M 'R -3 c'
_symmetry_Int_Tables_number 167
_symmetry_space_group_name_Hall '-R 3 2"c'
loop_
_atom_site_label
_atom_site_fract_x
_atom_site_fract_y
_atom_site_fract_z
Sc1 0.0000 0.3079 0.2500
Au1 0.0000 0.0000 0.0000
N1 0.0000 0.0000 0.2500
# - ΔE_f (raw): -3.27 eV/f.u.
# - Calculated volume: 23.15 Å³/atom
# - Spin magnetization: 0.0 μB/f.u.
# - N(E_F): 0.94 states/eV/atom

# Dy6SnBi5 (GGA-PBE, relaxed)
data_Dy6SnBi5
_chemical_formula_sum 'Dy12 Sn2 Bi10'
_cell_length_a 7.716
_cell_length_b 13.372
_cell_length_c 7.753
_cell_angle_alpha 90.00
_cell_angle_beta 109.37
_cell_angle_gamma 90.00
_symmetry_space_group_name_H-M 'C 1 2/m 1'
_symmetry_Int_Tables_number 12
_symmetry_space_group_name_Hall '-C 2y'
loop_
_atom_site_label
_atom_site_fract_x
_atom_site_fract_y
_atom_site_fract_z
Dy1 0.245 0.000 0.252
Dy2 0.246 0.164 0.746
Sn1 0.000 0.000 0.500
Bi1 0.000 0.169 0.000
Bi2 0.000 0.334 0.500
Bi3 0.000 0.500 0.000
# - ΔH_f (0 K): -0.803 eV per atom
# - Calculated volume: 31.44 Å³/atom
# - Spin magnetization: 0.0 μB/f.u.
# - N(E_F): 0.32 states/eV/atom

# ScBeTcMo (GGA-PBE, relaxed)
data_ScBeTcMo
_chemical_formula_sum 'Sc4 Be4 Tc4 Mo4'
_cell_length_a 6.213
_cell_length_b 6.213
_cell_length_c 6.213
_cell_angle_alpha 90.00
_cell_angle_beta 90.00
_cell_angle_gamma 90.00
_symmetry_space_group_name_H-M 'F -4 3 m'
_symmetry_Int_Tables_number 216
_symmetry_space_group_name_Hall 'F -4 2 3'
loop_
_atom_site_label
_atom_site_fract_x
_atom_site_fract_y
_atom_site_fract_z
Sc1 0.000 0.000 0.000
Be1 0.250 0.250 0.250
Tc1 0.250 0.250 0.750
Mo1 0.000 0.000 0.500
# - ΔH_f (0 K): -0.073 eV per atom
# - Calculated volume: 14.99 Å³/atom
# - Spin magnetization: 0.0 μB/f.u.
# - N(E_F): 0.42 states/eV/atom

# Li2TlHg4 (GGA-PBE, relaxed)
data_Li2TlHg4
_chemical_formula_sum 'Li2 Tl1 Hg4'
_cell_length_a 4.690
_cell_length_b 4.690
_cell_length_c 7.471
_cell_angle_alpha 90.00
_cell_angle_beta 90.00
_cell_angle_gamma 90.00
_symmetry_space_group_name_H-M 'P 4/m m m'
_symmetry_Int_Tables_number 123
_symmetry_space_group_name_Hall '-P 4 2'
loop_
_atom_site_label
_atom_site_fract_x
_atom_site_fract_y
_atom_site_fract_z
Li1 0.000 0.000 0.000
Li2 0.500 0.500 0.500
Tl1 0.000 0.000 0.500
Hg1 0.000 0.500 0.209
# - ΔH_f (0 K): -0.160 eV per atom
# - Calculated volume: 23.47 Å³/atom
# - Spin magnetization: 0.0 μB/f.u.
# - N(E_F): 0.30 states/eV/atom

# PmAsRh (GGA-PBE, relaxed)
data_PmAsRh
_chemical_formula_sum 'Pm6 As6 Rh6'
_cell_length_a 4.177
_cell_length_b 12.130
_cell_length_c 6.999
_cell_angle_alpha 90.00
_cell_angle_beta 90.00
_cell_angle_gamma 90.00
_symmetry_space_group_name_H-M 'A m m 2'
_symmetry_Int_Tables_number 38
_symmetry_space_group_name_Hall 'A 2 -2'
loop_
_atom_site_label
_atom_site_fract_x
_atom_site_fract_y
_atom_site_fract_z
Pm1 0.000 0.000 0.000
Pm2 0.000 0.208 0.623
As1 0.000 0.000 0.416
As2 0.500 0.167 0.915
Rh1 0.500 0.000 0.653
Rh2 0.500 0.119 0.297
# - ΔH_f (0 K): -1.057 eV per atom
# - Calculated volume: 19.70 Å³/atom
# - Relative energy among the computed polymorphs: 23 meV per atom
# - Spin magnetization: 0.0 μB/f.u.
# - N(E_F): 0.73 states/eV/atom

# Y2PuBi (GGA-PBE, relaxed)
data_Y2PuBi
_chemical_formula_sum 'Y6 Pu3 Bi3'
_cell_length_a 3.4737
_cell_length_b 3.4737
_cell_length_c 35.7791
_cell_angle_alpha 90.00
_cell_angle_beta 90.00
_cell_angle_gamma 120.00
_symmetry_space_group_name_H-M 'R -3 m'
_symmetry_Int_Tables_number 166
_symmetry_space_group_name_Hall '-R 3 2"'
loop_
_atom_site_label
_atom_site_fract_x
_atom_site_fract_y
_atom_site_fract_z
Y1 0.0000 0.0000 0.0915
Pu1 0.0000 0.0000 0.0000
Bi1 0.0000 0.0000 0.5000
# - ΔH_f (0 K): 0.128 eV per atom
# - Calculated volume: 31.16 Å³/atom
# - Relative energy among the computed polymorphs: 396 meV per atom
# - Spin magnetization: 6.3 μB/f.u.
# - N(E_F): 2.65 states/eV/atom

# BaNaCl3 (GGA-PBE, relaxed)
data_BaNaCl3
_chemical_formula_sum 'Ba1 Na1 Cl3'
_cell_length_a 6.015
_cell_length_b 6.015
_cell_length_c 6.015
_cell_angle_alpha 90.00
_cell_angle_beta 90.00
_cell_angle_gamma 90.00
_symmetry_space_group_name_H-M 'P m -3 m'
_symmetry_Int_Tables_number 221
_symmetry_space_group_name_Hall '-P 4 2 3'
loop_
_atom_site_label
_atom_site_fract_x
_atom_site_fract_y
_atom_site_fract_z
Ba1 0.000 0.000 0.000
Na1 0.500 0.500 0.500
Cl1 0.000 0.000 0.500
# - ΔE_f (raw): -9.59 eV/f.u.
# - Calculated volume: 43.51 Å³/atom
# - Relative energy among the computed polymorphs: 277 meV per atom
# - Spin magnetization: 0.0 μB/f.u.
# - N(E_F): 0.00 states/eV/atom

# LaPm4Y2 (GGA-PBE, relaxed)
data_LaPm4Y2
_chemical_formula_sum 'La4 Pm16 Y8'
_cell_length_a 6.939
_cell_length_b 11.532
_cell_length_c 12.323
_cell_angle_alpha 90.00
_cell_angle_beta 90.00
_cell_angle_gamma 90.00
_symmetry_space_group_name_H-M 'I m m a'
_symmetry_Int_Tables_number 74
_symmetry_space_group_name_Hall '-I 2b 2'
loop_
_atom_site_label
_atom_site_fract_x
_atom_site_fract_y
_atom_site_fract_z
La1 0.000 0.000 0.000
Pm1 0.000 0.006 0.357
Pm2 0.218 0.250 0.509
Y1 0.000 0.250 0.779
Y2 0.250 0.250 0.250
# - ΔH_f (0 K): 0.225 eV per atom
# - Calculated volume: 35.22 Å³/atom
# - Relative energy among the computed polymorphs: 168 meV per atom
# - Spin magnetization: 0.0 μB/f.u.
# - N(E_F): 1.47 states/eV/atom

# Dy3HoSb3 (GGA-PBE, relaxed)
data_Dy3HoSb3
_chemical_formula_sum 'Dy18 Ho6 Sb18'
_cell_length_a 8.9404
_cell_length_b 8.9404
_cell_length_c 18.3997
_cell_angle_alpha 90.00
_cell_angle_beta 90.00
_cell_angle_gamma 120.00
_symmetry_space_group_name_H-M 'R -3'
_symmetry_Int_Tables_number 148
_symmetry_space_group_name_Hall '-R 3'
loop_
_atom_site_label
_atom_site_fract_x
_atom_site_fract_y
_atom_site_fract_z
Dy1 0.0028 0.2621 0.0845
Ho1 0.0000 0.0000 0.3337
Sb1 0.0040 0.3894 0.9183
# - ΔE_f (raw): -6.28 eV/f.u.
# - Calculated volume: 30.33 Å³/atom
# - Relative energy among the computed polymorphs: 91 meV per atom
# - Spin magnetization: 0.0 μB/f.u.
# - N(E_F): 0.71 states/eV/atom

# Sm2Ga4Ni3Pd (GGA-PBE, relaxed)
data_Sm2Ga4Ni3Pd
_chemical_formula_sum 'Sm2 Ga4 Ni3 Pd1'
_cell_length_a 4.220
_cell_length_b 4.220
_cell_length_c 9.788
_cell_angle_alpha 90.00
_cell_angle_beta 90.00
_cell_angle_gamma 90.00
_symmetry_space_group_name_H-M 'P -4 m 2'
_symmetry_Int_Tables_number 115
_symmetry_space_group_name_Hall 'P -4 -2'
loop_
_atom_site_label
_atom_site_fract_x
_atom_site_fract_y
_atom_site_fract_z
Sm1 0.000 0.500 0.247
Ga1 0.000 0.000 0.000
Ga2 0.000 0.500 0.635
Ga3 0.500 0.500 0.000
Ni1 0.000 0.500 0.875
Ni2 0.500 0.500 0.500
Pd1 0.000 0.000 0.500
# - ΔH_f (0 K): -0.625 eV per atom
# - Calculated volume: 17.43 Å³/atom
# - Spin magnetization: 0.0 μB/f.u.
# - N(E_F): 0.85 states/eV/atom

# P2IrSe (GGA-PBE, relaxed)
data_P2IrSe
_chemical_formula_sum 'P2 Ir1 Se1'
_cell_length_a 3.693
_cell_length_b 3.693
_cell_length_c 4.671
_cell_angle_alpha 90.00
_cell_angle_beta 90.00
_cell_angle_gamma 90.00
_symmetry_space_group_name_H-M 'P 4/m m m'
_symmetry_Int_Tables_number 123
_symmetry_space_group_name_Hall '-P 4 2'
loop_
_atom_site_label
_atom_site_fract_x
_atom_site_fract_y
_atom_site_fract_z
P1 0.000 0.500 0.000
Ir1 0.000 0.000 0.500
Se1 0.500 0.500 0.500
# - ΔE_f (raw): 2.95 eV/f.u.
# - Calculated volume: 15.92 Å³/atom
# - Spin magnetization: 0.0 μB/f.u.
# - N(E_F): 0.57 states/eV/atom